VASP calculation (PBE) on a relaxed structure of Ac3P2Rh9.

Calculated formation energy: -10.24 eV per formula unit
N(E_F): 14.53 states/eV/f.u.
Spin magnetization: 0.0000 μB/atom
DFT total energy: -99.5 eV per formula unit

Lattice parameters (Å, degrees): 6.2617 6.2617 7.6131 90.00 90.00 120.00
Space group P-3m1 (No. 164)
Unique sites:
Ac: 0.0000 0.0000 0.0000
Ac: 0.3333 0.6667 0.3368
P: 0.3333 0.6667 0.7996
Rh: 0.0000 0.5000 0.0000
Rh: 0.1516 0.3032 0.6553